Here is an optimized crystal structure of Li14Cu2Se9 from Alexandria via LeMat-Bulk. Energies are from PBE.

The magnetic moment comes out at 0.00 μB per formula unit. The calculation puts the energy at -3.68 eV/atom. Its uncorrected formation energy is -1.031 eV per atom.

Unit cell a=7.370 b=7.370 c=10.224 alpha=90.00 beta=90.00 gamma=120.00
Atoms (fractional coordinates):
1 Li 0.000 0.000 0.249
2 Li 0.000 0.000 0.751
3 Li 0.009 0.667 0.412
4 Li 0.031 0.362 0.093
5 Li 0.330 0.969 0.093
6 Li 0.333 0.342 0.412
7 Li 0.342 0.009 0.588
8 Li 0.362 0.330 0.907
9 Li 0.638 0.670 0.093
10 Li 0.658 0.991 0.412
11 Li 0.667 0.658 0.588
12 Li 0.670 0.031 0.907
13 Li 0.969 0.638 0.907
14 Li 0.991 0.333 0.588
15 Cu 0.333 0.667 0.753
16 Cu 0.667 0.333 0.247
17 Se 0.000 0.000 0.500
18 Se 0.030 0.341 0.838
19 Se 0.311 0.970 0.838
20 Se 0.333 0.667 0.512
21 Se 0.341 0.311 0.162
22 Se 0.659 0.689 0.838
23 Se 0.667 0.333 0.488
24 Se 0.689 0.030 0.162
25 Se 0.970 0.659 0.162

=====

Here is an optimized crystal structure of Sr2LiGeSe from Alexandria via LeMat-Bulk. Energies are from PBE.

The magnetic moment comes out at 0.00 μB per formula unit. The calculation puts the energy at -3.07 eV/atom. Its uncorrected formation energy is -0.391 eV per atom.

Unit cell a=6.070 b=6.070 c=4.140 alpha=90.00 beta=90.00 gamma=90.00
Atoms (fractional coordinates):
1 Sr 0.000 0.500 0.000
2 Sr 0.500 0.000 0.000
3 Li 0.000 0.000 0.000
4 Ge 0.500 0.500 0.500
5 Se 0.000 0.000 0.500

=====

Here is an optimized crystal structure of MgSCl2F from Alexandria via LeMat-Bulk. Energies are from PBE.

The magnetic moment comes out at 1.01 μB per formula unit. The calculation puts the energy at -2.48 eV/atom. Its uncorrected formation energy is -0.227 eV per atom. The value obtained for the excess energy over the best structure of this formula in the dataset is 79 kJ/mol of formula units.

Unit cell a=5.315 b=5.315 c=3.680 alpha=90.00 beta=90.00 gamma=90.00
Atoms (fractional coordinates):
1 Mg 0.000 0.000 0.000
2 S 0.500 0.500 0.000
3 Cl 0.000 0.500 0.500
4 Cl 0.500 0.000 0.500
5 F 0.500 0.500 0.500

=====

Here is an optimized crystal structure of KCuPb2 from Alexandria via LeMat-Bulk. Energies are from PBE.

The magnetic moment comes out at 0.00 μB per formula unit. For the formation energy, the calculation gives 169 meV/atom. The calculation puts the energy at -2.98 eV/atom.

Unit cell a=3.775 b=5.110 c=7.023 alpha=90.00 beta=105.55 gamma=90.00
Atoms (fractional coordinates):
1 K 0.000 0.000 0.000
2 Cu 0.334 0.500 0.674
3 Pb 0.272 0.000 0.543
4 Pb 0.677 0.500 0.353